Record 1
AcInSbCl | GGA-PBE | optimized geometry

Cell lengths 5.577, 5.577, 5.577 Å; angles 60.00, 60.00, 60.00 degrees
Fractional positions:
Sb (0.000, 0.000, 0.000)
Ac (0.750, 0.750, 0.750)
Cl (0.500, 0.500, 0.500)
In (0.250, 0.250, 0.250)

Summary:
SG: No. 216
Formation energy from raw total energies in meV per atom: -947
ρ in g cm⁻³: 6.8

Record 2
Ce2PrPaSb4 | GGA-PBE | optimized geometry

Cell lengths 4.475, 7.772, 7.758 Å; angles 109.38, 90.00, 90.00 degrees
Fractional positions:
Ce (0.500, 0.000, 0.500)
Ce (0.000, 0.500, 0.500)
Pr (0.000, 0.000, 0.000)
Pa (0.500, 0.500, 0.000)
Sb (0.500, 0.257, 0.249)
Sb (0.500, 0.743, 0.751)
Sb (0.000, 0.258, 0.755)
Sb (0.000, 0.742, 0.245)

Summary:
SG: No. 10
Formation energy from raw total energies in meV per atom: -927
ρ in g cm⁻³: 7.4

Record 3
PmTlTe3 | GGA-PBE | optimized geometry

Cell lengths 6.139, 6.139, 6.139 Å; angles 74.28, 74.28, 74.28 degrees
Fractional positions:
Pm (0.201, 0.201, 0.201)
Tl (0.816, 0.816, 0.816)
Te (0.700, 0.204, 0.204)
Te (0.204, 0.700, 0.204)
Te (0.204, 0.204, 0.700)

Summary:
SG: No. 160
Formation energy from raw total energies in meV per atom: -544
ρ in g cm⁻³: 5.8

Record 4
MgBeMo2 | GGA-PBE | optimized geometry

Cell lengths 9.134, 9.134, 9.134 Å; angles 17.56, 17.56, 17.56 degrees
Fractional positions:
Be (0.250, 0.250, 0.250)
Mo (0.992, 0.992, 0.992)
Mo (0.508, 0.508, 0.508)
Mg (0.750, 0.750, 0.750)

Summary:
Polymorph energy (0 for the lowest one) in meV per atom: 254.8
Energy relative to the elements in eV/atom: 0.4525
SG: No. 166
ρ in g cm⁻³: 6.2

Record 5
CuPb2W | GGA-PBE | optimized geometry

Cell lengths 3.196, 5.623, 4.744 Å; angles 90.00, 90.00, 90.00 degrees
Fractional positions:
Cu (0.000, 0.500, 0.500)
Pb (0.000, 0.000, 0.000)
Pb (0.500, 0.500, 0.000)
W (0.500, 0.000, 0.500)

Summary:
Polymorph energy (0 for the lowest one) in meV per atom: 457.1
Energy relative to the elements in eV/atom: 0.9983
SG: No. 47
ρ in g cm⁻³: 12.9

Record 6
Na2ZnSn2S6 | GGA-PBE | optimized geometry

Cell lengths 13.674, 12.559, 7.529 Å; angles 81.66, 65.33, 33.01 degrees
Fractional positions:
Na (0.293, 0.302, 0.547)
Na (0.858, 0.547, 0.302)
Na (0.703, 0.392, 0.957)
Na (0.948, 0.957, 0.392)
Zn (0.582, 0.918, 0.918)
Zn (0.332, 0.668, 0.668)
Sn (0.827, 0.949, 0.928)
Sn (0.295, 0.928, 0.949)
Sn (0.322, 0.955, 0.423)
Sn (0.301, 0.423, 0.955)
S (0.883, 0.773, 0.696)
S (0.648, 0.696, 0.773)
S (0.554, 0.602, 0.367)
S (0.477, 0.367, 0.602)
S (0.444, 0.327, 0.169)
S (0.060, 0.169, 0.327)
S (0.081, 0.190, 0.806)
S (0.923, 0.806, 0.190)
S (0.988, 0.978, 0.719)
S (0.314, 0.719, 0.978)
S (0.531, 0.936, 0.262)
S (0.272, 0.262, 0.936)

Summary:
SG: No. 43
Formation energy from raw total energies in meV per atom: -709
ρ in g cm⁻³: 3.1

Record 7
MnCdW2 | GGA-PBE | optimized geometry

Cell lengths 3.206, 3.206, 6.446 Å; angles 90.00, 90.00, 90.00 degrees
Fractional positions:
Cd (0.000, 0.000, 0.513)
Mn (0.500, 0.500, 0.773)
W (0.000, 0.000, 0.996)
W (0.500, 0.500, 0.218)

Summary:
Energy relative to the elements in eV/atom: 0.3897
SG: No. 99
ρ in g cm⁻³: 13.4

Record 8
Pm2GaBr8 | GGA-PBE | optimized geometry

Cell lengths 7.093, 8.706, 8.706 Å; angles 78.39, 85.00, 85.00 degrees
Fractional positions:
Pm (0.368, 0.194, 0.194)
Pm (0.632, 0.806, 0.806)
Ga (0.000, 0.000, 0.000)
Br (0.785, 0.097, 0.738)
Br (0.215, 0.262, 0.903)
Br (0.763, 0.182, 0.182)
Br (0.237, 0.818, 0.818)
Br (0.785, 0.738, 0.097)
Br (0.215, 0.903, 0.262)
Br (0.234, 0.387, 0.387)
Br (0.766, 0.613, 0.613)

Summary:
SG: No. 12
Formation energy from raw total energies in meV per atom: -1330
ρ in g cm⁻³: 3.2

Calculated DOS at the Fermi energy in order - 0.76, 19.37, 4.47, 3.32, 3.32, 0.00, 1.18, 5.86 states/eV per cell
Calculated raw total energy in order - -4.151, -6.256, -3.852, -6.293, -5.118, -4.044, -8.608, -3.686 eV/atom